# 1
Y4ThMg5 (GGA-PBE, relaxed); total DFT energy (no corrections) = -4.1947 eV per atom; space-group type = P4/mmm, No. 123
1.0
-1.232 -1.649 3.194
3.481 -1.388 0.626
4.506 15.753 9.871
Mg Y Th
5 4 1
direct
0.500 0.500 0.699 Mg
0.500 0.500 0.301 Mg
0.500 0.500 0.500 Mg
0.500 0.500 0.895 Mg
0.500 0.500 0.105 Mg
0.000 0.000 0.201 Y
0.000 0.000 0.599 Y
0.000 0.000 0.799 Y
0.000 0.000 0.401 Y
0.000 0.000 0.000 Th

# 2
AlAgPb (GGA-PBE, relaxed); total DFT energy (no corrections) = -3.3687 eV per atom; space-group type = P-1, No. 2
1.0
9.528 0.228 -0.777
1.276 4.646 -0.003
0.282 -1.251 3.044
Al Pb Ag
2 2 2
direct
0.776 0.240 0.042 Al
0.633 0.908 0.376 Al
0.335 0.212 0.029 Pb
0.074 0.936 0.390 Pb
0.874 0.613 0.728 Ag
0.535 0.535 0.689 Ag

# 3
Nd2Dy4Y2Er (GGA-PBE, relaxed); total DFT energy (no corrections) = -5.0500 eV per atom; space-group type = C2/m, No. 12
1.0
-3.343 -1.041 0.873
0.333 -2.522 -9.187
3.602 -6.427 6.132
Dy Er Nd Y
4 1 2 2
direct
0.519 0.038 0.334 Dy
0.185 0.370 0.336 Dy
0.815 0.630 0.664 Dy
0.481 0.962 0.666 Dy
0.000 0.000 0.000 Er
0.665 0.330 0.000 Nd
0.335 0.670 0.000 Nd
0.147 0.293 0.663 Y
0.853 0.707 0.337 Y

# 4
Tl2InGaCl4 (GGA-PBE, relaxed); formation energy without anion corrections = -0.8683 eV per atom; space-group type = P2/m, No. 10
1.0
4.523 0.000 0.000
0.000 7.808 -0.147
0.000 2.754 7.341
In Ga Cl Tl
1 1 4 2
direct
0.000 0.500 0.500 In
0.500 0.500 0.000 Ga
0.000 0.264 0.238 Cl
0.500 0.741 0.245 Cl
0.500 0.259 0.755 Cl
0.000 0.736 0.762 Cl
0.000 0.000 0.000 Tl
0.500 0.000 0.500 Tl

# 5
Mg4ScTa3N8 (GGA-PBE, relaxed); formation energy without anion corrections = -1.1976 eV per atom; space-group type = R-3m, No. 166
1.0
-2.720 -5.575 -0.081
5.016 -2.406 -2.874
0.694 3.035 5.366
Ta Mg N Sc
3 4 8 1
direct
0.500 0.500 0.000 Ta
0.000 0.500 0.500 Ta
0.500 0.500 0.500 Ta
0.000 0.000 0.500 Mg
0.000 0.000 0.000 Mg
0.500 0.000 0.500 Mg
0.500 0.000 0.000 Mg
0.738 0.738 0.988 N
0.250 0.738 0.988 N
0.253 0.258 0.506 N
0.747 0.742 0.494 N
0.250 0.738 0.501 N
0.750 0.262 0.012 N
0.750 0.262 0.499 N
0.262 0.262 0.012 N
0.000 0.500 0.000 Sc

# 6
Na2Tl15Sb2 (GGA-PBE, relaxed); formation energy without anion corrections = 0.0691 eV per atom; space-group type = R-3m, No. 166
1.0
8.442 -0.151 2.868
2.007 8.201 2.868
-0.196 -0.151 8.914
Na Tl Sb
2 15 2
direct
0.096 0.096 0.096 Na
0.904 0.904 0.904 Na
0.000 0.500 0.000 Tl
0.307 0.000 0.693 Tl
0.390 0.846 0.390 Tl
0.000 0.000 0.500 Tl
0.693 0.307 0.000 Tl
0.000 0.307 0.693 Tl
0.154 0.610 0.610 Tl
0.390 0.390 0.846 Tl
0.693 0.000 0.307 Tl
0.610 0.154 0.610 Tl
0.000 0.693 0.307 Tl
0.846 0.390 0.390 Tl
0.500 0.000 0.000 Tl
0.307 0.693 0.000 Tl
0.610 0.610 0.154 Tl
0.269 0.269 0.269 Sb
0.731 0.731 0.731 Sb

# 7
CaLaTe2 (GGA-PBE, relaxed); polymorph energy (0 for the lowest one) = 420 meV/atom; formation energy without anion corrections = -1.1744 eV per atom; space-group type = I-42d, No. 122
1.0
7.190 0.000 0.000
0.000 7.190 0.000
3.595 3.595 7.144
Ca Te La
2 4 2
direct
0.500 0.500 0.000 Ca
0.250 0.750 0.500 Ca
0.875 0.866 0.750 Te
0.616 0.125 0.250 Te
0.134 0.625 0.250 Te
0.375 0.384 0.750 Te
0.750 0.250 0.500 La
0.000 0.000 0.000 La

# 8
CoRh (GGA-PBE, relaxed); total DFT energy (no corrections) = -6.9659 eV per atom; space-group type = I4/mmm, No. 139
1.0
7.525 0.000 0.000
0.000 7.525 0.000
0.000 0.000 3.832
Rh Co
8 8
direct
0.500 0.812 0.000 Rh
0.812 0.500 0.000 Rh
0.688 0.000 0.500 Rh
0.188 0.500 0.000 Rh
0.000 0.312 0.500 Rh
0.000 0.688 0.500 Rh
0.500 0.188 0.000 Rh
0.312 0.000 0.500 Rh
0.162 0.162 0.000 Co
0.662 0.662 0.500 Co
0.838 0.838 0.000 Co
0.338 0.338 0.500 Co
0.662 0.338 0.500 Co
0.838 0.162 0.000 Co
0.338 0.662 0.500 Co
0.162 0.838 0.000 Co

# 9
CoSi3 (GGA-PBE, relaxed); formation energy without anion corrections = 0.1147 eV per atom; space-group type = P-6m2, No. 187
1.0
2.868 0.000 0.000
-1.434 2.484 0.000
0.000 0.000 7.365
Si Co
3 1
direct
0.000 0.000 0.500 Si
0.667 0.333 0.223 Si
0.667 0.333 0.777 Si
0.000 0.000 0.000 Co

# 10
Ba5Bi2AsP (GGA-PBE, relaxed); total DFT energy (no corrections) = -3.7102 eV per atom; space-group type = Immm, No. 71
1.0
5.665 0.000 0.000
0.000 8.298 0.000
-2.832 -4.149 8.768
Bi Ba As P
2 5 1 1
direct
0.197 0.197 0.395 Bi
0.803 0.803 0.605 Bi
0.368 0.606 0.737 Ba
0.632 0.394 0.263 Ba
0.632 0.869 0.263 Ba
0.000 0.000 0.000 Ba
0.368 0.131 0.737 Ba
0.000 0.500 0.000 As
0.500 0.000 0.000 P

# 11
Ac3LaNi3 (GGA-PBE, relaxed); polymorph energy (0 for the lowest one) = 33 meV/atom; space-group type = R3m, No. 160
1.0
-2.411 5.633 0.038
-0.920 -2.307 -5.601
-3.296 -3.388 3.899
Ac Ni La
3 3 1
direct
0.554 0.554 0.134 Ac
0.134 0.554 0.554 Ac
0.554 0.134 0.554 Ac
0.025 0.025 0.524 Ni
0.025 0.524 0.025 Ni
0.524 0.025 0.025 Ni
0.983 0.983 0.983 La

# 12
LiSb2Cl (GGA-PBE, relaxed); polymorph energy (0 for the lowest one) = 393 meV/atom; formation energy without anion corrections = -0.4233 eV per atom; space-group type = C2/m, No. 12
1.0
8.682 -0.142 0.062
-6.620 5.619 0.062
1.050 2.789 2.888
Sb Li Cl
2 1 1
direct
0.000 0.000 0.000 Sb
0.500 0.500 0.000 Sb
0.000 0.500 0.500 Li
0.500 0.000 0.500 Cl

# 13
BaNd2NpO8 (GGA-PBE, relaxed); formation energy without anion corrections = -2.8032 eV per atom; space-group type = P2/m, No. 10
1.0
4.190 -0.263 -0.001
-0.238 5.509 -0.005
0.002 0.008 8.009
Nd O Np Ba
2 8 1 1
direct
0.500 0.500 0.766 Nd
0.500 0.500 0.234 Nd
0.957 0.237 0.196 O
0.043 0.763 0.196 O
0.043 0.763 0.804 O
0.469 0.698 0.500 O
0.957 0.237 0.804 O
0.531 0.302 0.500 O
0.434 0.219 0.000 O
0.566 0.781 0.000 O
0.000 0.000 0.000 Np
0.000 0.000 0.500 Ba

# 14
La6Os2CBr3 (GGA-PBE, relaxed); formation energy without anion corrections = -0.8356 eV per atom; space-group type = C2/m, No. 12
1.0
7.137 0.009 -0.005
-3.559 6.187 -0.005
-1.198 -2.075 7.790
La Os Br C
6 2 3 1
direct
0.621 0.938 0.811 La
0.379 0.062 0.189 La
0.062 0.379 0.189 La
0.256 0.256 0.811 La
0.744 0.744 0.189 La
0.938 0.621 0.811 La
0.667 0.333 0.000 Os
0.333 0.667 0.000 Os
0.167 0.833 0.500 Br
0.833 0.167 0.500 Br
0.500 0.500 0.500 Br
0.000 0.000 0.000 C

# 15
Na3AlSb4 (GGA-PBE, relaxed); formation energy without anion corrections = -0.1200 eV per atom; space-group type = Immm, No. 71
1.0
4.864 0.000 0.000
0.000 6.194 0.000
-2.432 -3.097 8.627
Al Sb Na
1 4 3
direct
0.500 0.000 0.000 Al
0.377 0.606 0.754 Sb
0.623 0.852 0.246 Sb
0.377 0.148 0.754 Sb
0.623 0.394 0.246 Sb
0.799 0.799 0.598 Na
0.201 0.201 0.402 Na
0.000 0.500 0.000 Na

# 16
ScNb5Ru6 (GGA-PBE, relaxed); total DFT energy (no corrections) = -9.6743 eV per atom; space-group type = P2/m, No. 10
1.0
4.252 -0.026 1.552
0.034 6.207 0.011
0.135 -0.014 7.370
Sc Nb Ru
1 5 6
direct
0.000 0.000 0.000 Sc
0.308 0.500 0.344 Nb
0.692 0.500 0.656 Nb
0.000 0.500 0.000 Nb
0.309 0.000 0.340 Nb
0.691 0.000 0.660 Nb
0.816 0.251 0.320 Ru
0.184 0.749 0.680 Ru
0.500 0.747 0.000 Ru
0.184 0.251 0.680 Ru
0.500 0.253 0.000 Ru
0.816 0.749 0.320 Ru

# 17
CaHg2Ir2 (GGA-PBE, relaxed); polymorph energy (0 for the lowest one) = 0 meV/atom; space-group type = I4/mmm, No. 139
1.0
4.429 0.000 0.000
0.000 4.429 0.000
2.215 2.215 5.708
Hg Ir Ca
2 2 1
direct
0.250 0.750 0.500 Hg
0.750 0.250 0.500 Hg
0.397 0.397 0.207 Ir
0.603 0.603 0.793 Ir
0.000 0.000 0.000 Ca

# 18
NbCr3Rh (GGA-PBE, relaxed); total DFT energy (no corrections) = -7.4100 eV per atom; space-group type = Pm-3m, No. 221
1.0
4.407 0.000 0.000
0.000 4.407 0.000
0.000 0.000 4.407
Nb Rh Cr
1 1 3
direct
0.000 0.000 0.000 Nb
0.500 0.500 0.500 Rh
0.000 0.000 0.500 Cr
0.500 0.000 0.000 Cr
0.000 0.500 0.000 Cr

# 19
Na4La3NdS8 (GGA-PBE, relaxed); formation energy without anion corrections = -1.8412 eV per atom; space-group type = R-3m, No. 166
1.0
-4.061 6.282 3.857
-6.295 -5.071 1.630
7.838 -1.995 2.321
S La Na Nd
8 3 4 1
direct
0.252 0.266 0.009 S
0.243 0.734 0.486 S
0.748 0.734 0.991 S
0.243 0.734 0.991 S
0.757 0.266 0.514 S
0.255 0.266 0.510 S
0.757 0.266 0.009 S
0.745 0.734 0.490 S
0.500 0.500 0.500 La
0.000 0.500 0.500 La
0.500 0.500 0.000 La
0.000 0.000 0.000 Na
0.500 0.000 0.500 Na
0.000 0.000 0.500 Na
0.500 0.000 0.000 Na
0.000 0.500 0.000 Nd

# 20
AcSmGdIn (GGA-PBE, relaxed); total DFT energy (no corrections) = -6.5394 eV per atom; space-group type = F-43m, No. 216
1.0
5.702 0.000 0.000
2.851 4.938 0.000
2.851 1.646 4.655
In Ac Gd Sm
1 1 1 1
direct
0.250 0.250 0.250 In
0.500 0.500 0.500 Ac
0.750 0.750 0.750 Gd
0.000 0.000 0.000 Sm